Record 1
Below is a relaxed structure of Tl5C, with properties calculated at the GGA-PBE level.

Structure (POSCAR):
```
Tl5C
1.0
3.394 0.000 0.000
0.000 3.394 0.000
0.000 0.000 13.699
Tl C
5 1
Direct
0.500 0.500 0.310
0.000 0.000 0.888
0.500 0.500 0.690
0.000 0.000 0.500
0.000 0.000 0.112
0.500 0.500 0.000
```

## Properties
**Energy relative to the elements**: 0.8100 eV per atom

=====

Record 2
Below is a relaxed structure of Ac5DySn6, with properties calculated at the GGA-PBE level.

Structure (POSCAR):
```
Ac5DySn6
1.0
8.549 0.481 0.000
3.143 6.226 0.000
1.572 3.113 8.211
Sn Ac Dy
6 5 1
Direct
0.797 0.347 0.673
0.300 0.168 0.000
0.203 0.979 0.673
0.700 0.832 0.000
0.203 0.653 0.327
0.797 0.021 0.327
0.500 0.810 0.379
0.000 0.354 0.292
0.500 0.500 0.000
0.500 0.190 0.621
0.000 0.646 0.708
0.000 0.000 0.000
```

## Properties
**Energy relative to the elements**: -0.5923 eV per atom

=====

Record 3
Below is a relaxed structure of Mg2CdAg6, with properties calculated at the GGA-PBE level.

Structure (POSCAR):
```
Mg2CdAg6
1.0
4.263 0.000 0.000
0.000 8.795 0.000
0.000 0.000 8.796
Ag Mg Cd
12 4 2
Direct
0.000 0.341 0.159
0.000 0.659 0.841
0.000 0.665 0.507
0.500 0.165 0.993
0.000 0.007 0.165
0.500 0.507 0.335
0.500 0.841 0.341
0.500 0.835 0.007
0.000 0.335 0.493
0.000 0.993 0.835
0.500 0.493 0.665
0.500 0.159 0.659
0.000 0.319 0.819
0.000 0.681 0.181
0.500 0.181 0.319
0.500 0.819 0.681
0.500 0.500 0.000
0.000 0.000 0.500
```

## Properties
**Energy relative to the elements**: -0.1320 eV per atom

=====

Short version: total magnetization = 0.139, 0.000, 0.000 μB per cell, in the order given.